1.
Material: CoTe2Br
Method: DFT, GGA-PBE
State: relaxed

As for the symmetry: P-1. Its energy above the lowest structure with this stoichiometry is 0.023 eV per atom.

```
CoTe2Br
1.0
6.313 0.000 0.000
3.142 5.851 0.000
0.625 2.595 6.206
Co Te Br
2 4 2
Direct
0.151 0.197 0.000
0.849 0.803 0.000
0.221 0.749 0.176
0.451 0.907 0.823
0.549 0.093 0.177
0.779 0.251 0.824
0.065 0.614 0.742
0.935 0.386 0.258
```



2.
Material: Co2TeBr
Method: DFT, GGA-PBE
State: relaxed

As for the symmetry: Immm. Its energy above the lowest structure with this stoichiometry is 0.606 eV per atom.

```
Co2TeBr
1.0
-1.687 3.469 3.793
1.687 -3.469 3.793
1.687 3.469 -3.793
Co Te Br
2 1 1
Direct
0.249 0.249 0.000
0.751 0.751 0.000
0.500 0.000 0.500
0.000 0.500 0.500
```



3.
Material: CoTe2Br
Method: DFT, GGA-PBE
State: relaxed

As for the symmetry: F-43m. Its energy above the lowest structure with this stoichiometry is 0.886 eV per atom.

```
CoTe2Br
1.0
0.000 3.617 3.617
3.617 0.000 3.617
3.617 3.617 0.000
Co Te Br
1 2 1
Direct
0.000 0.000 0.000
0.250 0.250 0.250
0.500 0.500 0.500
0.750 0.750 0.750
```



4.
Material: CoTe2Br
Method: DFT, GGA-PBE
State: relaxed

As for the symmetry: Immm. Its energy above the lowest structure with this stoichiometry is 0.419 eV per atom.

```
CoTe2Br
1.0
-1.664 2.755 5.492
1.664 -2.755 5.492
1.664 2.755 -5.492
Co Te Br
1 2 1
Direct
0.000 0.000 0.000
0.177 0.677 0.500
0.823 0.323 0.500
0.500 0.500 0.000
```



5.
Material: CoTe2Br
Method: DFT, GGA-PBE
State: relaxed

As for the symmetry: I4/mmm. Its energy above the lowest structure with this stoichiometry is 0.606 eV per atom.

```
CoTe2Br
1.0
-2.928 2.928 3.025
2.928 -2.928 3.025
2.928 2.928 -3.025
Co Te Br
1 2 1
Direct
0.000 0.000 0.000
0.000 0.500 0.500
0.500 0.000 0.500
0.500 0.500 0.000
```



6.
Material: Co2TeBr
Method: DFT, GGA-PBE
State: relaxed

As for the symmetry: P4mm. Its energy above the lowest structure with this stoichiometry is 0.170 eV per atom.

```
Co2TeBr
1.0
3.373 0.000 0.000
0.000 3.373 0.000
0.000 0.000 7.404
Co Te Br
2 1 1
Direct
0.000 0.000 0.000
0.500 0.500 0.166
0.000 0.000 0.330
0.500 0.500 0.835
```



7.
Material: CoTe2Br
Method: DFT, GGA-PBE
State: relaxed

As for the symmetry: Cmm2. Its energy above the lowest structure with this stoichiometry is 0.422 eV per atom.

```
CoTe2Br
1.0
1.915 -2.628 0.000
1.915 2.628 0.000
0.000 0.000 10.555
Co Te Br
1 2 1
Direct
0.000 0.000 0.000
0.000 0.000 0.473
0.500 0.500 0.155
0.500 0.500 0.846
```



8.
Material: Co2TeBr
Method: DFT, GGA-PBE
State: relaxed

As for the symmetry: Pm. Its energy above the lowest structure with this stoichiometry is 0.013 eV per atom.

```
Co2TeBr
1.0
3.723 0.000 0.000
0.000 3.720 0.000
-0.041 0.000 7.166
Co Te Br
2 1 1
Direct
0.000 0.000 0.000
0.500 0.500 0.000
0.497 0.000 0.762
0.003 0.500 0.232
```



9.
Material: CoTe2Br
Method: DFT, GGA-PBE
State: relaxed

As for the symmetry: Cmcm. Its energy above the lowest structure with this stoichiometry is 0.242 eV per atom.

```
CoTe2Br
1.0
1.819 -13.202 0.000
1.819 13.202 0.000
0.000 0.000 4.577
Co Te Br
2 4 2
Direct
0.191 0.809 0.750
0.809 0.191 0.250
0.289 0.711 0.750
0.372 0.628 0.250
0.628 0.372 0.750
0.711 0.289 0.250
0.440 0.560 0.750
0.560 0.440 0.250
```



10.
Material: CoTeBr2
Method: DFT, GGA-PBE
State: relaxed

As for the symmetry: Immm.

```
CoTeBr2
1.0
-1.680 2.395 7.210
1.680 -2.395 7.210
1.680 2.395 -7.210
Co Te Br
1 1 2
Direct
0.000 0.000 0.000
0.500 0.500 0.000
0.136 0.636 0.500
0.864 0.364 0.500
```



11.
Material: CoTe3Br
Method: DFT, GGA-PBE
State: relaxed

As for the symmetry: Pm-3m. Its energy above the lowest structure with this stoichiometry is 1.044 eV per atom.

```
CoTe3Br
1.0
5.539 0.000 0.000
0.000 5.539 0.000
0.000 0.000 5.539
Co Te Br
1 3 1
Direct
0.000 0.000 0.000
0.000 0.500 0.500
0.500 0.000 0.500
0.500 0.500 0.000
0.500 0.500 0.500
```



12.
Material: CoTeBr2
Method: DFT, GGA-PBE
State: relaxed

As for the symmetry: R3m.

```
CoTeBr2
1.0
1.860 1.074 8.512
-1.860 1.074 8.512
0.000 -2.148 8.512
Co Te Br
1 1 2
Direct
0.000 0.000 0.000
0.717 0.717 0.717
0.279 0.279 0.279
0.472 0.472 0.472
```



Respective E values: -3.93, -4.15, -3.07, -3.54, -3.35, -4.58, -3.54, -4.74, -3.72, -3.24, -2.26, -3.55 eV per atom.
Respective formation energy from raw total energies values: -0.17, 0.61, 0.69, 0.23, 0.41, 0.17, 0.23, 0.02, 0.05, 0.16, 1.38, -0.15 eV/atom.